1.
Here is CsTmTe after structural relaxation from the Alexandria database. Energies are from PBE.

```
CsTmTe
1.0
2.439 1.408 14.449
-2.439 1.408 14.449
0.000 -2.817 14.449
Cs Tm Te
2 2 2
Direct
0.111 0.111 0.111
0.889 0.889 0.889
0.310 0.310 0.310
0.690 0.690 0.690
0.382 0.382 0.382
0.618 0.618 0.618
```

Output
The total DFT energy (no corrections) comes out at -3.4558 eV per atom. The calculation puts the uncorrected formation energy at -634 meV per atom.

---

2.
Here is CsTm6Te8 after structural relaxation from the Alexandria database. Energies are from PBE.

```
CsTm6Te8
1.0
5.935 3.426 4.821
-5.935 3.426 4.821
0.000 -6.853 4.821
Cs Tm Te
1 6 8
Direct
0.000 0.000 0.000
0.205 0.401 0.570
0.401 0.570 0.205
0.430 0.795 0.599
0.570 0.205 0.401
0.599 0.430 0.795
0.795 0.599 0.430
0.132 0.721 0.399
0.253 0.253 0.253
0.279 0.601 0.868
0.399 0.132 0.721
0.601 0.868 0.279
0.721 0.399 0.132
0.747 0.747 0.747
0.868 0.279 0.601
```

Output
The total DFT energy (no corrections) comes out at -4.7485 eV per atom. The calculation puts the uncorrected formation energy at -1227 meV per atom. The offset from the most stable computed form is 83 meV/atom.

---

3.
Here is CsYTmTe3 after structural relaxation from the Alexandria database. Energies are from PBE.

```
CsYTmTe3
1.0
9.667 0.000 0.000
0.000 4.922 0.000
-4.565 0.000 10.312
Cs Y Tm Te
2 2 2 6
Direct
0.011 0.250 0.248
0.989 0.750 0.752
0.452 0.250 0.118
0.548 0.750 0.882
0.497 0.250 0.631
0.503 0.750 0.369
0.237 0.750 0.123
0.323 0.750 0.538
0.330 0.250 0.824
0.670 0.750 0.176
0.677 0.250 0.462
0.763 0.250 0.877
```

Output
The total DFT energy (no corrections) comes out at -4.7716 eV per atom. The calculation puts the uncorrected formation energy at -1236 meV per atom.

---

4.
Here is Cs3YTm3Te8 after structural relaxation from the Alexandria database. Energies are from PBE.

```
Cs3YTm3Te8
1.0
4.388 2.533 9.207
-4.388 2.533 9.207
0.000 -5.066 9.207
Cs Y Tm Te
3 1 3 8
Direct
0.000 0.500 0.500
0.500 0.000 0.500
0.500 0.500 0.000
0.500 0.500 0.500
0.000 0.000 0.500
0.000 0.500 0.000
0.500 0.000 0.000
0.224 0.733 0.733
0.229 0.229 0.229
0.267 0.267 0.776
0.267 0.776 0.267
0.733 0.224 0.733
0.733 0.733 0.224
0.771 0.771 0.771
0.776 0.267 0.267
```

Output
The total DFT energy (no corrections) comes out at -4.4843 eV per atom. The calculation puts the uncorrected formation energy at -1313 meV per atom.

---

5.
Here is Cs3YTm2Te6 after structural relaxation from the Alexandria database. Energies are from PBE.

```
Cs3YTm2Te6
1.0
3.919 -6.789 0.000
3.919 6.789 0.000
-2.612 0.000 8.910
Cs Y Tm Te
3 1 2 6
Direct
0.000 0.000 0.000
0.334 0.666 0.000
0.666 0.334 0.000
0.500 0.500 0.500
0.167 0.833 0.500
0.833 0.167 0.500
0.101 0.437 0.312
0.226 0.226 0.688
0.437 0.101 0.312
0.563 0.899 0.688
0.774 0.774 0.312
0.899 0.563 0.688
```

Output
The total DFT energy (no corrections) comes out at -4.4408 eV per atom. The calculation puts the uncorrected formation energy at -1373 meV per atom.

---

6.
Here is Cs3Y2TmTe6 after structural relaxation from the Alexandria database. Energies are from PBE.

```
Cs3Y2TmTe6
1.0
3.932 -6.811 0.000
3.932 6.811 0.000
-2.622 0.000 8.910
Cs Y Tm Te
3 2 1 6
Direct
0.000 0.000 0.000
0.332 0.668 0.000
0.668 0.332 0.000
0.167 0.833 0.500
0.833 0.167 0.500
0.500 0.500 0.500
0.107 0.437 0.311
0.233 0.233 0.689
0.437 0.107 0.311
0.563 0.893 0.689
0.767 0.767 0.311
0.893 0.563 0.689
```

Output
The total DFT energy (no corrections) comes out at -4.6217 eV per atom. The calculation puts the uncorrected formation energy at -1388 meV per atom.

---

7.
Here is Cs2TmZn2Te4 after structural relaxation from the Alexandria database. Energies are from PBE.

```
Cs2TmZn2Te4
1.0
8.256 -2.400 0.000
8.256 2.400 0.000
-2.747 0.000 8.283
Cs Tm Zn Te
2 1 2 4
Direct
0.134 0.134 0.069
0.866 0.866 0.931
0.000 0.000 0.500
0.328 0.328 0.504
0.672 0.672 0.496
0.197 0.197 0.654
0.488 0.488 0.725
0.512 0.512 0.275
0.803 0.803 0.346
```

Output
The total DFT energy (no corrections) comes out at -3.2358 eV per atom. The calculation puts the uncorrected formation energy at -870 meV per atom.

---

8.
Here is Cs3Tm3ZrTe8 after structural relaxation from the Alexandria database. Energies are from PBE.

```
Cs3Tm3ZrTe8
1.0
7.588 -4.382 0.000
7.588 4.382 0.000
-5.064 0.000 9.131
Cs Tm Zr Te
3 3 1 8
Direct
0.000 0.000 0.000
0.000 0.500 0.000
0.500 0.000 0.000
0.000 0.500 0.500
0.500 0.000 0.500
0.500 0.500 0.500
0.000 0.000 0.500
0.223 0.223 0.684
0.223 0.738 0.684
0.262 0.777 0.316
0.271 0.271 0.312
0.729 0.729 0.688
0.738 0.223 0.684
0.777 0.262 0.316
0.777 0.777 0.316
```

Output
The total DFT energy (no corrections) comes out at -4.5729 eV per atom. The calculation puts the uncorrected formation energy at -1262 meV per atom.

---

9.
Here is Cs3Tm2ZrTe6 after structural relaxation from the Alexandria database. Energies are from PBE.

```
Cs3Tm2ZrTe6
1.0
3.841 -6.653 0.000
3.841 6.653 0.000
-2.562 0.000 8.916
Cs Tm Zr Te
3 2 1 6
Direct
0.000 0.000 0.000
0.331 0.669 0.000
0.669 0.331 0.000
0.166 0.834 0.500
0.834 0.166 0.500
0.500 0.500 0.500
0.113 0.438 0.314
0.238 0.238 0.688
0.438 0.113 0.314
0.562 0.887 0.686
0.762 0.762 0.312
0.887 0.562 0.686
```

Output
The total DFT energy (no corrections) comes out at -4.4398 eV per atom. The calculation puts the uncorrected formation energy at -1198 meV per atom.

---

10.
Here is CsUTe2 after structural relaxation from the Alexandria database. Energies are from PBE.

```
CsUTe2
1.0
3.897 0.000 0.000
0.000 3.897 0.000
0.000 0.000 9.094
Cs U Te
1 1 2
Direct
0.000 0.000 0.000
0.000 0.000 0.500
0.500 0.500 0.305
0.500 0.500 0.695
```

Output
The total DFT energy (no corrections) comes out at -5.3838 eV per atom. The calculation puts the uncorrected formation energy at -778 meV per atom.

---

11.
Here is Cs5UTe6 after structural relaxation from the Alexandria database. Energies are from PBE.

```
Cs5UTe6
1.0
4.648 -7.923 0.000
4.648 7.923 0.000
-3.166 0.000 8.420
Cs U Te
5 1 6
Direct
0.000 0.000 0.000
0.164 0.836 0.500
0.322 0.678 0.000
0.678 0.322 0.000
0.836 0.164 0.500
0.500 0.500 0.500
0.169 0.434 0.298
0.314 0.314 0.704
0.434 0.169 0.298
0.566 0.831 0.702
0.686 0.686 0.296
0.831 0.566 0.702
```

Output
The total DFT energy (no corrections) comes out at -3.7436 eV per atom. The calculation puts the uncorrected formation energy at -876 meV per atom.

---

12.
Here is Cs3UTe8 after structural relaxation from the Alexandria database. Energies are from PBE.

```
Cs3UTe8
1.0
-4.957 4.987 5.604
4.957 -4.987 5.604
4.957 4.987 -5.604
Cs U Te
3 1 8
Direct
0.000 0.000 0.000
0.250 0.750 0.500
0.750 0.250 0.500
0.500 0.500 0.000
0.151 0.152 0.722
0.262 0.705 0.999
0.293 0.295 0.557
0.430 0.428 0.278
0.570 0.848 0.999
0.707 0.263 0.001
0.738 0.737 0.443
0.849 0.572 0.001
```

Output
The total DFT energy (no corrections) comes out at -3.8857 eV per atom. The calculation puts the uncorrected formation energy at -637 meV per atom.

---

Question: Number 12 is which compound?
Answer: Cs3UTe8

---

Repeat the first record exactly.
Here is CsTmTe after structural relaxation from the Alexandria database. Energies are from PBE.

```
CsTmTe
1.0
2.439 1.408 14.449
-2.439 1.408 14.449
0.000 -2.817 14.449
Cs Tm Te
2 2 2
Direct
0.111 0.111 0.111
0.889 0.889 0.889
0.310 0.310 0.310
0.690 0.690 0.690
0.382 0.382 0.382
0.618 0.618 0.618
```

Output
The total DFT energy (no corrections) comes out at -3.4558 eV per atom. The calculation puts the uncorrected formation energy at -634 meV per atom.

---

Question: Which value of total DFT energy (no corrections) does entry 8 give?
Answer: -4.5729 eV per atom